Record 1
A relaxed BeSb2 crystal, computed with GGA-PBEsol.

Cell lengths 6.910, 6.910, 4.647 Å; angles 90.00, 90.00, 120.00 degrees
Atoms (fractional coordinates):
Be 0.000 0.000 0.000
Be 0.333 0.667 0.500
Be 0.667 0.333 0.500
Sb 0.000 0.374 0.000
Sb 0.000 0.711 0.500
Sb 0.289 0.289 0.500
Sb 0.374 0.000 0.000
Sb 0.626 0.626 0.000
Sb 0.711 0.000 0.500

Results
As for the spin magnetization: 0.00 μB/atom. The calculation puts the volume at 192.1 Å³/cell. As for the density of states at the Fermi level: 4.82 states/eV/cell. The calculation puts the total energy at -0.29046 Ry per atom. The value obtained for the formation energy (no corrections) is 0.420 eV per atom.


Record 2
A relaxed OsAu2Cl crystal, computed with GGA-PBEsol.

Cell lengths 8.810, 8.810, 8.810 Å; angles 19.29, 19.29, 19.29 degrees
Atoms (fractional coordinates):
Os 0.000 0.000 0.000
Au 0.251 0.251 0.251
Au 0.749 0.749 0.749
Cl 0.500 0.500 0.500

Results
As for the spin magnetization: 0.01 μB/atom. The calculation puts the volume at 65.2 Å³/cell. As for the density of states at the Fermi level: 3.30 states/eV/cell. The calculation puts the total energy at -0.36367 Ry per atom. The calculation puts the energy above the most stable polymorph in this dataset at 0.0 meV per atom. The value obtained for the formation energy (no corrections) is 0.570 eV per atom.


Record 3
A relaxed Cs2ZnSb crystal, computed with GGA-PBEsol.

Cell lengths 12.794, 12.794, 12.794 Å; angles 156.72, 156.72, 33.16 degrees
Atoms (fractional coordinates):
Cs 0.111 0.625 0.986
Cs 0.375 0.361 0.486
Cs 0.639 0.125 0.014
Cs 0.875 0.889 0.514
Zn 0.000 0.000 0.000
Zn 0.750 0.250 0.500
Sb 0.250 0.750 0.500
Sb 0.500 0.500 0.000

Results
As for the spin magnetization: 0.00 μB/atom. The calculation puts the volume at 326.8 Å³/cell. As for the density of states at the Fermi level: 3.61 states/eV/cell. The calculation puts the total energy at -0.12634 Ry per atom. The value obtained for the formation energy (no corrections) is 0.287 eV per atom.


Q: spin magnetization of number 1 (BeSb2)?
A: 0.00 μB/atom


Q: Among the records above, which one has the highest formation energy (no corrections)?
A: OsAu2Cl


What did the third record say?
A relaxed Cs2ZnSb crystal, computed with GGA-PBEsol.

Cell lengths 12.794, 12.794, 12.794 Å; angles 156.72, 156.72, 33.16 degrees
Atoms (fractional coordinates):
Cs 0.111 0.625 0.986
Cs 0.375 0.361 0.486
Cs 0.639 0.125 0.014
Cs 0.875 0.889 0.514
Zn 0.000 0.000 0.000
Zn 0.750 0.250 0.500
Sb 0.250 0.750 0.500
Sb 0.500 0.500 0.000

Results
As for the spin magnetization: 0.00 μB/atom. The calculation puts the volume at 326.8 Å³/cell. As for the density of states at the Fermi level: 3.61 states/eV/cell. The calculation puts the total energy at -0.12634 Ry per atom. The value obtained for the formation energy (no corrections) is 0.287 eV per atom.